! MnAg2O4 | Alexandria via LeMat-Bulk | PBE with a Hubbard U | relaxed; values from VASP
! Energy in eV per atom: -5.150
&SYSTEM
  ibrav = 0, nat = 28, ntyp = 3
/
ATOMIC_SPECIES
Mn 54.94 Mn.upf
Ag 107.87 Ag.upf
O 16.00 O.upf
ATOMIC_POSITIONS angstrom
Mn 1.842 1.743 0.230
Mn 3.095 5.230 3.041
Mn 6.780 1.743 2.582
Mn 8.032 5.230 5.394
Ag 0.000 0.000 2.812
Ag 0.000 3.487 2.812
Ag 1.474 5.230 0.134
Ag 3.463 1.743 2.946
Ag 4.937 0.000 0.000
Ag 4.937 3.487 0.000
Ag 6.412 5.230 2.677
Ag 8.400 1.743 5.489
O 1.171 0.340 0.983
O 1.171 3.146 0.983
O 1.364 5.230 3.374
O 1.489 1.743 4.201
O 3.448 5.230 1.389
O 3.573 1.743 0.563
O 3.766 3.827 3.795
O 3.766 6.633 3.795
O 6.108 0.340 1.829
O 6.108 3.146 1.829
O 6.301 5.230 5.060
O 6.426 1.743 4.234
O 8.386 5.230 1.422
O 8.511 1.743 2.249
O 8.704 3.827 4.640
O 8.704 6.633 4.640
CELL_PARAMETERS angstrom
9.874 0.000 0.000
0.000 6.973 0.000
0.000 0.000 5.623

***

! Mn5Ag3O12 | Alexandria via LeMat-Bulk | PBE with a Hubbard U | relaxed; values from VASP
! Energy in eV per atom: -6.085
&SYSTEM
  ibrav = 0, nat = 80, ntyp = 3
/
ATOMIC_SPECIES
Mn 54.94 Mn.upf
Ag 107.87 Ag.upf
O 16.00 O.upf
ATOMIC_POSITIONS angstrom
Mn 0.000 0.000 0.000
Mn 3.112 3.112 -3.112
Mn 3.112 -3.112 3.112
Mn 6.224 0.000 0.000
Mn 9.336 1.556 0.000
Mn 6.224 -3.112 4.668
Mn 4.668 6.224 -3.112
Mn 4.668 0.000 3.112
Mn 3.112 4.668 0.000
Mn 6.224 3.112 1.556
Mn -3.112 3.112 3.112
Mn 0.000 6.224 0.000
Mn 0.000 0.000 6.224
Mn 3.112 3.112 3.112
Mn 0.000 3.112 4.668
Mn 3.112 1.556 6.224
Mn 1.556 6.224 3.112
Mn 1.556 0.000 9.336
Mn 0.000 9.336 1.556
Mn -3.112 4.668 6.224
Ag 3.112 1.556 0.000
Ag 6.224 3.112 -1.556
Ag 1.556 0.000 3.112
Ag 7.780 0.000 3.112
Ag 0.000 3.112 1.556
Ag 3.112 -1.556 6.224
Ag 3.112 7.780 0.000
Ag 6.224 3.112 4.668
Ag -1.556 6.224 3.112
Ag 4.668 6.224 3.112
Ag 0.000 3.112 7.780
Ag 3.112 4.668 6.224
O 1.790 -0.466 0.680
O 7.546 3.792 -3.578
O 5.758 -0.680 1.790
O 9.802 -1.322 2.432
O 8.014 0.466 0.680
O 7.546 -2.432 3.578
O 0.680 1.790 -0.466
O 8.656 2.646 -1.322
O 3.792 3.578 -1.322
O 5.544 1.790 0.466
O -0.466 0.680 1.790
O 3.578 -1.322 3.792
O 5.758 5.544 -1.790
O 3.578 1.322 2.432
O 5.544 -1.790 5.758
O 3.792 -3.578 7.546
O 2.432 3.578 1.322
O 6.904 4.434 0.466
O 1.790 5.758 -0.680
O 7.546 2.432 2.646
O 3.578 7.546 -2.432
O 5.758 0.680 4.434
O 1.322 2.432 3.578
O 1.790 0.466 5.544
O 4.434 5.758 0.680
O 4.902 3.792 2.646
O 0.466 5.544 1.790
O 2.646 -1.322 8.656
O -1.322 3.792 3.578
O 4.434 0.466 6.904
O -0.680 1.790 5.758
O 3.792 2.646 4.902
O 2.432 9.802 -1.322
O 0.680 8.014 0.466
O 2.646 4.902 3.792
O 0.466 0.680 8.014
O 2.646 7.546 2.432
O 6.690 5.544 4.434
O 0.680 4.434 5.758
O 2.432 2.646 7.546
O -2.432 3.578 7.546
O 5.544 4.434 6.690
O -1.322 8.656 2.646
O -1.790 5.758 5.544
O -3.578 7.546 3.792
O 0.466 6.904 4.434
O -1.322 2.432 9.802
O 4.434 6.690 5.544
CELL_PARAMETERS angstrom
-6.224 6.224 6.224
6.224 -6.224 6.224
6.224 6.224 -6.224

***

! Mn3AgO | Alexandria via LeMat-Bulk | PBE with a Hubbard U | relaxed; values from VASP
! Excess energy over the best structure of this formula in the dataset in eV per formula unit: 0.00
&SYSTEM
  ibrav = 0, nat = 5, ntyp = 3
/
ATOMIC_SPECIES
Mn 54.94 Mn.upf
Ag 107.87 Ag.upf
O 16.00 O.upf
ATOMIC_POSITIONS angstrom
Mn 0.000 0.000 2.176
Mn 0.000 2.176 0.000
Mn 2.176 0.000 0.000
Ag 2.176 2.176 2.176
O 0.000 0.000 0.000
CELL_PARAMETERS angstrom
4.353 0.000 0.000
0.000 4.353 0.000
0.000 0.000 4.353

***

! MnAgOs2O8 | Alexandria via LeMat-Bulk | PBE with a Hubbard U | relaxed; values from VASP
! Energy in eV per atom: -6.898
&SYSTEM
  ibrav = 0, nat = 12, ntyp = 4
/
ATOMIC_SPECIES
Mn 54.94 Mn.upf
Ag 107.87 Ag.upf
Os 190.23 Os.upf
O 16.00 O.upf
ATOMIC_POSITIONS angstrom
Mn 0.000 0.000 0.000
Ag 0.000 0.000 3.266
Os 0.000 3.401 1.855
Os 2.946 1.701 4.677
O 0.000 1.680 1.336
O -1.491 4.262 1.336
O 1.455 0.840 5.196
O 0.000 3.401 3.616
O 2.946 1.701 2.916
O 1.491 4.262 1.336
O 4.437 0.840 5.196
O 2.946 3.422 5.196
CELL_PARAMETERS angstrom
5.891 0.000 0.000
-2.946 5.102 0.000
0.000 0.000 6.532

***

! MnAgPO4 | Alexandria via LeMat-Bulk | PBE with a Hubbard U | relaxed; values from VASP
! Energy in eV per atom: -6.802
&SYSTEM
  ibrav = 0, nat = 28, ntyp = 4
/
ATOMIC_SPECIES
Mn 54.94 Mn.upf
Ag 107.87 Ag.upf
P 30.97 P.upf
O 16.00 O.upf
ATOMIC_POSITIONS angstrom
Mn 1.416 0.908 1.976
Mn 2.945 2.362 5.311
Mn 6.190 6.376 4.076
Mn 7.719 7.830 7.410
Ag 3.282 4.423 8.143
Ag 3.041 3.973 2.189
Ag 6.094 4.765 7.197
Ag 5.853 4.315 1.244
P 3.041 5.829 4.969
P 4.665 7.594 8.495
P 4.470 1.143 0.891
P 6.094 2.908 4.417
O 1.382 2.267 3.682
O 3.388 6.686 8.353
O 2.619 5.820 3.448
O 3.134 2.241 7.492
O 3.300 4.417 5.497
O 2.940 5.903 0.556
O 4.305 6.723 5.140
O 3.179 1.939 1.278
O 5.956 6.799 8.108
O 4.831 2.015 4.246
O 6.196 2.835 8.831
O 5.835 4.320 3.890
O 6.001 6.496 1.895
O 6.517 2.917 5.938
O 5.748 2.052 1.034
O 7.753 6.470 5.705
CELL_PARAMETERS angstrom
5.940 0.000 0.000
1.349 6.544 0.000
1.846 2.194 9.387

***

! MnAgP2O | Alexandria via LeMat-Bulk | PBE with a Hubbard U | relaxed; values from VASP
! Excess energy over the best structure of this formula in the dataset in eV per formula unit: 1.32
&SYSTEM
  ibrav = 0, nat = 5, ntyp = 4
/
ATOMIC_SPECIES
Mn 54.94 Mn.upf
Ag 107.87 Ag.upf
P 30.97 P.upf
O 16.00 O.upf
ATOMIC_POSITIONS angstrom
Mn 0.000 0.000 0.000
Ag 2.429 2.429 2.017
P 0.000 2.429 2.017
P 2.429 0.000 2.017
O 2.429 2.429 0.000
CELL_PARAMETERS angstrom
4.857 0.000 0.000
0.000 4.857 0.000
0.000 0.000 4.035

***

! Mn2Ag2PO6 | Alexandria via LeMat-Bulk | PBE with a Hubbard U | relaxed; values from VASP
! Energy in eV per atom: -6.346
&SYSTEM
  ibrav = 0, nat = 11, ntyp = 4
/
ATOMIC_SPECIES
Mn 54.94 Mn.upf
Ag 107.87 Ag.upf
P 30.97 P.upf
O 16.00 O.upf
ATOMIC_POSITIONS angstrom
Mn 2.647 2.987 0.000
Mn 2.647 -2.987 0.000
Ag 2.477 1.409 3.091
Ag 2.477 -1.409 3.091
P 2.647 0.000 0.000
O 0.838 0.000 5.301
O 1.979 1.279 1.013
O 2.976 1.279 5.169
O 1.979 -1.279 1.013
O 2.976 -1.279 5.169
O 4.117 0.000 0.881
CELL_PARAMETERS angstrom
2.647 -4.464 0.000
2.647 4.464 0.000
-0.339 0.000 6.181

***

! MnAgP2O | Alexandria via LeMat-Bulk | PBE with a Hubbard U | relaxed; values from VASP
! Excess energy over the best structure of this formula in the dataset in eV per formula unit: 0.00
&SYSTEM
  ibrav = 0, nat = 5, ntyp = 4
/
ATOMIC_SPECIES
Mn 54.94 Mn.upf
Ag 107.87 Ag.upf
P 30.97 P.upf
O 16.00 O.upf
ATOMIC_POSITIONS angstrom
Mn 0.000 0.000 0.000
Ag 2.361 2.361 1.720
P 0.000 2.361 0.000
P 2.361 0.000 0.000
O 0.000 0.000 1.720
CELL_PARAMETERS angstrom
4.721 0.000 0.000
0.000 4.721 0.000
0.000 0.000 3.441

***

! PaMnAgO6 | Alexandria via LeMat-Bulk | PBE with a Hubbard U | relaxed; values from VASP
! Energy in eV per atom: -7.203
&SYSTEM
  ibrav = 0, nat = 9, ntyp = 4
/
ATOMIC_SPECIES
Pa 231.04 Pa.upf
Mn 54.94 Mn.upf
Ag 107.87 Ag.upf
O 16.00 O.upf
ATOMIC_POSITIONS angstrom
Pa 0.000 0.000 0.000
Mn 2.618 1.511 2.397
Ag 0.000 3.023 2.397
O 1.784 0.161 3.520
O 1.031 1.465 1.274
O 3.452 0.161 1.274
O 1.865 2.909 3.520
O 4.204 1.465 3.520
O 3.371 2.909 1.274
CELL_PARAMETERS angstrom
5.236 0.000 0.000
-2.618 4.534 0.000
0.000 0.000 4.794

***

! PaMnAg2O8 | Alexandria via LeMat-Bulk | PBE with a Hubbard U | relaxed; values from VASP
! Energy in eV per atom: -6.231
&SYSTEM
  ibrav = 0, nat = 12, ntyp = 4
/
ATOMIC_SPECIES
Pa 231.04 Pa.upf
Mn 54.94 Mn.upf
Ag 107.87 Ag.upf
O 16.00 O.upf
ATOMIC_POSITIONS angstrom
Pa 0.000 0.000 0.000
Mn 3.569 0.000 1.771
Ag 0.000 0.000 3.542
Ag 0.000 3.569 1.771
O 3.569 1.330 0.833
O 1.330 3.569 -0.833
O 2.240 0.000 2.709
O 0.000 1.557 1.320
O -2.013 3.569 2.222
O 2.013 3.569 2.222
O 0.000 2.240 4.376
O 0.000 5.582 1.320
CELL_PARAMETERS angstrom
-3.569 3.569 3.542
3.569 -3.569 3.542
3.569 3.569 -3.542

***

! MnAgPbO4 | Alexandria via LeMat-Bulk | PBE with a Hubbard U | relaxed; values from VASP
! Energy in eV per atom: -5.749
&SYSTEM
  ibrav = 0, nat = 14, ntyp = 4
/
ATOMIC_SPECIES
Mn 54.94 Mn.upf
Ag 107.87 Ag.upf
Pb 207.20 Pb.upf
O 16.00 O.upf
ATOMIC_POSITIONS angstrom
Mn -1.510 1.679 2.455
Mn 1.510 1.679 2.455
Ag 3.021 1.679 -1.601
Ag 0.000 1.679 6.511
Pb 0.000 0.000 0.000
Pb 0.000 3.358 0.000
O 1.433 1.679 0.111
O 1.588 -1.679 5.022
O 0.000 0.377 2.288
O 3.021 0.377 2.623
O 0.000 2.982 2.288
O 3.021 2.982 2.623
O 1.433 5.037 -0.111
O 1.588 1.679 4.799
CELL_PARAMETERS angstrom
-3.021 3.358 4.910
3.021 -3.358 4.910
3.021 3.358 -4.910

***

! MnAgPdO4 | Alexandria via LeMat-Bulk | PBE with a Hubbard U | relaxed; values from VASP
! Energy in eV per atom: -5.790
&SYSTEM
  ibrav = 0, nat = 14, ntyp = 4
/
ATOMIC_SPECIES
Mn 54.94 Mn.upf
Ag 107.87 Ag.upf
Pd 106.42 Pd.upf
O 16.00 O.upf
ATOMIC_POSITIONS angstrom
Mn -1.513 1.586 2.321
Mn 1.513 1.586 2.321
Ag 3.027 1.586 -1.345
Ag 0.000 1.586 5.987
Pd 0.000 0.000 0.000
Pd 0.000 3.173 0.000
O 1.314 1.586 0.083
O 1.713 -1.586 4.725
O 0.000 0.287 2.053
O 3.027 0.287 2.589
O 0.000 2.885 2.053
O 3.027 2.885 2.589
O 1.314 4.759 -0.083
O 1.713 1.586 4.559
CELL_PARAMETERS angstrom
-3.027 3.173 4.642
3.027 -3.173 4.642
3.027 3.173 -4.642

***

! Pm2MnAg3O6 | Alexandria via LeMat-Bulk | PBE with a Hubbard U | relaxed; values from VASP
! Energy in eV per atom: -6.353
&SYSTEM
  ibrav = 0, nat = 12, ntyp = 4
/
ATOMIC_SPECIES
Pm 145.00 Pm.upf
Mn 54.94 Mn.upf
Ag 107.87 Ag.upf
O 16.00 O.upf
ATOMIC_POSITIONS angstrom
Pm 3.070 3.472 0.000
Pm 3.070 -3.472 0.000
Mn 3.070 0.000 0.000
Ag -0.881 0.000 3.132
Ag 2.189 1.480 3.132
Ag 2.189 -1.480 3.132
O -0.700 0.000 5.168
O 2.163 1.501 1.020
O 2.215 1.501 5.244
O 2.163 -1.501 1.020
O 2.215 -1.501 5.244
O 5.077 0.000 1.096
CELL_PARAMETERS angstrom
3.070 -5.198 0.000
3.070 5.198 0.000
-1.763 0.000 6.264

***

! PmMnAg2O4 | Alexandria via LeMat-Bulk | PBE with a Hubbard U | relaxed; values from VASP
! Energy in eV per atom: -6.170
&SYSTEM
  ibrav = 0, nat = 16, ntyp = 4
/
ATOMIC_SPECIES
Pm 145.00 Pm.upf
Mn 54.94 Mn.upf
Ag 107.87 Ag.upf
O 16.00 O.upf
ATOMIC_POSITIONS angstrom
Pm 0.000 0.000 0.000
Pm -2.171 0.000 2.776
Mn 2.174 2.523 0.000
Mn 0.002 -2.523 2.776
Ag 0.002 2.523 2.776
Ag 2.174 -2.523 0.000
Ag 4.348 0.000 0.000
Ag 2.176 0.000 2.776
O -0.382 2.828 4.924
O -2.063 0.619 5.073
O 0.108 -0.619 2.297
O 2.564 2.828 3.403
O 1.789 -2.828 2.148
O 4.244 0.619 3.254
O 6.416 -0.619 0.479
O 4.735 -2.828 0.628
CELL_PARAMETERS angstrom
4.348 -5.046 0.000
4.348 5.046 0.000
-4.343 0.000 5.551

***

! Pm3MnAg3O8 | Alexandria via LeMat-Bulk | PBE with a Hubbard U | relaxed; values from VASP
! Energy in eV per atom: -6.537
&SYSTEM
  ibrav = 0, nat = 15, ntyp = 4
/
ATOMIC_SPECIES
Pm 145.00 Pm.upf
Mn 54.94 Mn.upf
Ag 107.87 Ag.upf
O 16.00 O.upf
ATOMIC_POSITIONS angstrom
Pm 0.000 0.000 0.000
Pm 3.028 1.759 0.000
Pm 3.028 -1.759 0.000
Mn 6.056 0.000 0.000
Ag -2.460 0.000 3.118
Ag 0.568 1.759 3.118
Ag 0.568 -1.759 3.118
O -2.916 0.000 5.146
O 0.276 1.558 5.179
O 4.322 0.000 0.921
O 6.916 1.558 1.057
O 0.276 -1.558 5.179
O 2.870 0.000 5.315
O 6.916 -1.558 1.057
O 10.107 0.000 1.091
CELL_PARAMETERS angstrom
6.056 -3.518 0.000
6.056 3.518 0.000
-4.921 0.000 6.236

***

! Pr2MnAgO6 | Alexandria via LeMat-Bulk | PBE with a Hubbard U | relaxed; values from VASP
! Energy in eV per atom: -7.060
&SYSTEM
  ibrav = 0, nat = 20, ntyp = 4
/
ATOMIC_SPECIES
Pr 140.91 Pr.upf
Mn 54.94 Mn.upf
Ag 107.87 Ag.upf
O 16.00 O.upf
ATOMIC_POSITIONS angstrom
Pr -0.073 0.468 1.915
Pr -2.788 2.586 5.761
Pr 2.962 3.523 1.931
Pr 0.247 5.641 5.777
Mn 2.802 0.000 0.000
Mn 0.087 3.055 3.846
Ag -2.715 0.000 3.846
Ag 0.000 3.055 0.000
O -4.242 0.983 7.321
O -1.526 2.072 3.475
O -3.535 4.403 7.235
O -0.819 4.760 3.389
O -2.033 0.271 5.853
O 0.682 2.783 2.007
O -0.508 3.326 5.685
O 2.207 5.838 1.839
O 0.993 1.349 4.303
O 3.709 1.706 0.457
O 1.700 4.037 4.217
O 4.416 5.126 0.371
CELL_PARAMETERS angstrom
5.604 0.000 0.000
0.000 6.109 0.000
-5.430 0.000 7.692